Entry 1:
A relaxed SrTbGa3 crystal, computed with GGA-PBE.

Lattice parameters (Å, degrees): 4.5517 26.1825 4.2361 90.00 90.00 90.00
With the nearest neighbours (Å) after each atom.
Space group Cmcm (No. 63)
Asymmetric unit:
1 Sr 0.0000 0.0747 0.2500 x4  12 Ga 3.35-3.58
2 Tb 0.0000 0.2038 0.7500 x4  7 Ga 3.04-3.17
3 Ga 0.0000 0.3199 0.7500 x4  2 Ga 2.60
4 Ga 0.0000 0.3773 0.2500 x4  3 Ga 2.55-2.60
5 Ga 0.0000 0.4745 0.2500 x4  3 Ga 2.50-2.55

Output
DFT total energy: -71.859 eV/cell
DOS at the Fermi energy: 16.85 states/eV/cell

---

Entry 2:
A relaxed SrTb4Ga4 crystal, computed with GGA-PBE.

Lattice parameters (Å, degrees): 9.5198 9.5198 5.9384 90.00 90.00 90.00
With the nearest neighbours (Å) after each atom.
Space group P4_2/n (No. 86, origin choice 2)
Asymmetric unit:
1 Sr 0.2500 0.2500 0.2500 x2  4 Ga 3.19
2 Tb 0.0911 0.6506 0.1321 x8  5 Ga 2.95-3.15
3 Ga 0.0395 0.5978 0.6333 x8  1 Ga 2.56

Output
DFT total energy: -70.778 eV/cell
DOS at the Fermi energy: 18.21 states/eV/cell

---

Entry 3:
A relaxed SrTb2Ga crystal, computed with GGA-PBE.

Lattice parameters (Å, degrees): 3.6755 3.6755 9.5521 90.00 90.00 90.00
With the nearest neighbours (Å) after each atom.
Space group P4/mmm (No. 123)
Asymmetric unit:
1 Sr 0.0000 0.0000 0.0000 x1  4 Sr 3.68, 8 Tb 4.03
2 Tb 0.5000 0.5000 0.3225 x2  4 Ga 3.10, 1 Tb 3.39
3 Ga 0.0000 0.0000 0.5000 x1  8 Tb 3.10

Output
DFT total energy: -14.702 eV/cell
DOS at the Fermi energy: 4.32 states/eV/cell

---

Entry 4:
A relaxed Sr2TbGaTe5 crystal, computed with GGA-PBE.

Lattice parameters (Å, degrees): 4.3990 20.2197 13.7649 90.00 90.00 90.00
With the nearest neighbours (Å) after each atom.
Space group Cmc2_1 (No. 36)
Asymmetric unit:
1 Sr 0.0000 0.1197 0.0000 x4  7 Te 3.33-3.58
2 Sr 0.0000 0.1236 0.6401 x4  6 Te 3.36-3.41
3 Tb 0.0000 0.2060 0.3417 x4  6 Te 3.03-3.25
4 Ga 0.0000 0.4391 0.7522 x4  4 Te 2.61-2.72
5 Te 0.0000 0.0462 0.3663 x4  2 Ga 2.72
6 Te 0.0000 0.2929 0.9953 x4  2 Tb 3.05, 2 Sr 3.41
7 Te 0.0000 0.3137 0.6808 x4  1 Ga 2.72
8 Te 0.0000 0.3553 0.3221 x4  1 Tb 3.03, 4 Sr 3.33-3.36
9 Te 0.0000 0.4994 0.0858 x4  1 Ga 2.61

Output
Formation energy (no corrections): -1.2505 eV/atom

---

Entry 5:
A relaxed SrTbZn2Ga2 crystal, computed with GGA-PBE.

Lattice parameters (Å, degrees): 4.5259 4.5259 7.7250 90.00 90.00 120.00
With the nearest neighbours (Å) after each atom.
Space group P-3m1 (No. 164)
Asymmetric unit:
1 Sr 0.0000 0.0000 0.0000 x1  6 Ga 3.46, 6 Zn 3.48, 2 Tb 3.86
2 Tb 0.0000 0.0000 0.5000 x1  6 Zn 3.05, 6 Ga 3.06
3 Zn 0.3333 0.6667 0.7028 x2  3 Ga 2.61
4 Ga 0.3333 0.6667 0.2944 x2  3 Zn 2.61

Output
DFT total energy: -17.890 eV/cell
DOS at the Fermi energy: 3.11 states/eV/cell

---

Entry 6:
A relaxed SrTbZnGa crystal, computed with GGA-PBE.

Lattice parameters (Å, degrees): 7.4706 7.4706 7.4706 90.00 90.00 90.00
With the nearest neighbours (Å) after each atom.
Space group F-43m (No. 216)
Asymmetric unit:
1 Sr 0.0000 0.0000 0.0000 x4  4 Zn 3.23, 4 Ga 3.23
2 Tb 0.0000 0.0000 0.5000 x4  4 Zn 3.23, 4 Ga 3.23
3 Zn 0.2500 0.2500 0.2500 x4  4 Tb 3.23, 4 Sr 3.23
4 Ga 0.2500 0.2500 0.7500 x4  4 Sr 3.23, 4 Tb 3.23

Output
DFT total energy: -47.462 eV/cell
DOS at the Fermi energy: 10.93 states/eV/cell

---

Q: Which spin magnetization values were calculated for the entries above? A: 0.00, 0.00, 0.00, 0.00, 0.00, 0.00, in μB per cell.